VASP calculation (PBE-GGA) on a geometry-optimized Pr2CuSi3Ir4 structure.

```
Pr2CuSi3Ir4
1.0
-1.389 3.431 -1.935
-0.660 -2.226 -3.473
-9.383 -2.052 3.098
Ir Cu Pr Si
4 1 2 3
Cartesian
-6.645 0.415 0.997 Ir
-1.025 0.603 -2.704 Ir
-3.763 -1.864 -0.603 Ir
0.000 0.000 0.000 Ir
-5.716 -0.423 -1.155 Cu
-7.314 -2.640 0.569 Pr
-3.094 1.191 -0.176 Pr
-1.520 -1.373 -1.344 Si
-4.692 -1.026 1.549 Si
-8.888 -0.076 1.737 Si
```

Calculated values
DOS(E_F) ... 5.669 states/eV per cell
Calculated volume ... 176 Å³/cell
Crystal system ... tetragonal
Raw formation energy ... -866 meV per atom
Total moment ... 0.000 μB per formula unit